Here is a relaxed PmMn2HgO4 crystal from the Alexandria database. Energies are from PBE with a Hubbard U.

Unit cell a=3.9397 b=3.9397 c=8.9331 alpha=90.00 beta=90.00 gamma=90.00
Space group P4/mmm (No. 123)
Unique sites:
Pm1 0.0000 0.0000 0.0000 [1 per cell]
Mn1 0.5000 0.5000 0.2111 [2 per cell]
Hg1 0.0000 0.0000 0.5000 [1 per cell]
O1 0.0000 0.5000 0.1637 [4 per cell]

Calculated values
calculated total energy = -6.7881 eV per atom
volume = 139 Å³/f.u.